Below is a PBEsol-optimized structure of KLa2Ta, with properties calculated at the SCAN level.

a = 7.4686 Å, b = 9.3591 Å, c = 3.2717 Å
α = 90.00°, β = 90.00°, γ = 90.00°
Space group Cmmm (No. 65)
Symmetry-distinct sites (fractional):
K1 0.0000 0.0000 0.0000 [2 per cell]
La1 0.2500 0.2500 0.5000 [4 per cell]
Ta1 0.0000 0.5000 0.0000 [2 per cell]

Calculated values
DFT formation energy   0.9514 eV per atom
Spin magnetization   0.00 μB/f.u.
Crystal system   orthorhombic
Energy   -39.329 eV/atom